Entry 1:
Compound: MnAlPb2
Source: Alexandria via LeMat-Bulk
Functional: GGA-PBE
Structure: optimized geometry

Cell: 6.316 6.316 6.316 Å, 150.32 130.93 58.40°
Fractional coordinates of all 4 atoms:
Al (0.537, 0.537, 0.000)
Pb (0.264, 0.764, 0.500)
Pb (0.972, 0.972, 0.000)
Mn (0.727, 0.227, 0.500)

Summary:
Energy of formation ... 332 meV per atom
Total energy ... -19.00 eV/cell

***

Entry 2:
Compound: Mn2AlPb
Source: Alexandria via LeMat-Bulk
Functional: GGA-PBE
Structure: optimized geometry

Cell: 9.004 9.004 9.004 Å, 19.78 19.78 19.78°
Fractional coordinates of all 4 atoms:
Mn (0.003, 0.003, 0.003)
Mn (0.734, 0.734, 0.734)
Pb (0.496, 0.496, 0.496)
Al (0.267, 0.267, 0.267)

Summary:
Energy of formation ... 388 meV per atom
Total energy ... -24.24 eV/cell

***

Entry 3:
Compound: Mn2AlPb
Source: Alexandria via LeMat-Bulk
Functional: GGA-PBE
Structure: optimized geometry

Cell: 4.593 4.593 4.593 Å, 60.00 60.00 60.00°
Fractional coordinates of all 4 atoms:
Pb (0.750, 0.750, 0.750)
Al (0.500, 0.500, 0.500)
Mn (0.000, 0.000, 0.000)
Mn (0.250, 0.250, 0.250)

Summary:
Energy of formation ... 579 meV per atom
Total energy ... -23.47 eV/cell

***

Entry 4:
Compound: Mn2AlPb
Source: Alexandria via LeMat-Bulk
Functional: GGA-PBE
Structure: optimized geometry

Cell: 5.180 5.180 5.180 Å, 135.37 135.37 64.95°
Fractional coordinates of all 4 atoms:
Mn (0.250, 0.750, 0.500)
Mn (0.000, 0.000, 0.000)
Pb (0.500, 0.500, 0.000)
Al (0.750, 0.250, 0.500)

Summary:
Energy of formation ... 283 meV per atom
Total energy ... -24.66 eV/cell

***

Entry 5:
Compound: MnAlPb2Se5
Source: Alexandria via LeMat-Bulk
Functional: GGA-PBE
Structure: optimized geometry

Cell: 3.871 9.709 12.800 Å, 90.00 90.00 101.50°
Fractional coordinates of all 18 atoms:
Se (0.041, 0.083, 0.060)
Se (0.649, 0.298, 0.486)
Se (0.959, 0.917, 0.560)
Se (0.508, 0.015, 0.787)
Se (0.492, 0.985, 0.287)
Se (0.689, 0.378, 0.905)
Se (0.311, 0.622, 0.405)
Se (0.720, 0.441, 0.162)
Se (0.351, 0.702, 0.986)
Se (0.280, 0.559, 0.662)
Al (0.434, 0.868, 0.451)
Al (0.566, 0.132, 0.951)
Mn (0.782, 0.565, 0.531)
Mn (0.218, 0.435, 0.031)
Pb (0.889, 0.778, 0.797)
Pb (0.111, 0.222, 0.297)
Pb (0.114, 0.228, 0.646)
Pb (0.886, 0.772, 0.146)

Summary:
ΔE_f (raw) ... -0.5809 eV/atom
Total energy ... -85.96 eV/cell

***

Entry 6:
Compound: TaMnAlPb2
Source: Alexandria via LeMat-Bulk
Functional: GGA-PBE
Structure: optimized geometry

Cell: 5.474 5.131 5.474 Å, 90.00 90.00 90.00°
Fractional coordinates of all 5 atoms:
Ta (0.000, 0.000, 0.000)
Pb (0.000, 0.000, 0.500)
Pb (0.500, 0.000, 0.000)
Mn (0.500, 0.500, 0.500)
Al (0.000, 0.500, 0.000)

Summary:
Energy of formation ... 993 meV per atom
Total energy ... -27.22 eV/cell